Entry 1:
The following is a DFT calculation (GGA-PBEsol) of a geometry-optimized VCo3 structure.

Cell lengths 3.956, 4.920, 4.920 Å; angles 120.00, 90.00, 90.00 degrees
Sites, in units of the cell vectors:
V 0.250 0.333 0.667
V 0.750 0.667 0.333
Co 0.750 0.163 0.326
Co 0.250 0.837 0.674
Co 0.250 0.326 0.163
Co 0.750 0.674 0.837
Co 0.250 0.837 0.163
Co 0.750 0.163 0.837

- ΔH_f (0 K): -0.216 eV/atom
- SG: P6_3/mmc

Entry 2:
The following is a DFT calculation (GGA-PBEsol) of a geometry-optimized AlBI2O structure.

Cell lengths 2.887, 6.097, 6.097 Å; angles 90.00, 90.00, 90.00 degrees
Sites, in units of the cell vectors:
I 0.000 0.500 0.000
I 0.000 0.000 0.500
Al 0.500 0.500 0.500
O 0.500 0.000 0.000
B 0.000 0.000 0.000

- SG: P4/mmm

Entry 3:
The following is a DFT calculation (GGA-PBEsol) of a geometry-optimized Cs2PH4Se3O2 structure.

Cell lengths 7.738, 9.994, 12.498 Å; angles 90.00, 90.00, 90.00 degrees
Sites, in units of the cell vectors:
Se 0.265 0.185 0.070
Se 0.765 0.685 0.430
Se 0.235 0.315 0.570
Se 0.500 0.854 0.182
Se 0.000 0.354 0.318
Se 0.235 0.685 0.430
Se 0.000 0.646 0.682
Se 0.265 0.815 0.930
Se 0.735 0.815 0.930
Se 0.500 0.146 0.818
Se 0.735 0.185 0.070
Se 0.765 0.315 0.570
H 0.702 0.913 0.750
H 0.680 0.675 0.177
H 0.298 0.913 0.750
H 0.820 0.825 0.677
H 0.202 0.587 0.250
H 0.702 0.087 0.250
H 0.202 0.413 0.750
H 0.180 0.825 0.677
H 0.320 0.675 0.177
H 0.180 0.175 0.323
H 0.320 0.325 0.823
H 0.680 0.325 0.823
H 0.820 0.175 0.323
H 0.798 0.587 0.250
H 0.298 0.087 0.250
H 0.798 0.413 0.750
O 0.753 0.408 0.824
O 0.253 0.092 0.324
O 0.747 0.908 0.676
O 0.753 0.592 0.176
O 0.247 0.408 0.824
O 0.747 0.092 0.324
O 0.253 0.908 0.676
O 0.247 0.592 0.176
Cs 0.000 0.500 0.000
Cs 0.000 0.000 0.500
Cs 0.500 0.500 0.000
Cs 0.500 0.000 0.500
Cs 0.000 0.115 0.827
Cs 0.000 0.885 0.173
Cs 0.500 0.385 0.327
Cs 0.500 0.615 0.673
P 0.000 0.613 0.508
P 0.500 0.887 0.008
P 0.000 0.387 0.492
P 0.500 0.113 0.992

- SG: Pnnm

Entry 4:
The following is a DFT calculation (GGA-PBEsol) of a geometry-optimized CrIn2Ru structure.

Cell lengths 3.065, 4.143, 5.503 Å; angles 90.00, 106.17, 90.00 degrees
Each line ends with the local moment (μB).
Sites, in units of the cell vectors:
Ru 0.682 0.000 0.365  -0.09
In 0.302 0.500 0.604  0.00
In 0.960 0.000 0.920  -0.01
Cr 0.578 0.500 0.156  0.34

- ΔH_f (0 K): 0.314 eV/atom
- SG: Amm2

Entry 5:
The following is a DFT calculation (GGA-PBEsol) of a geometry-optimized Zr2SbIrOs structure.

Cell lengths 4.822, 4.911, 4.911 Å; angles 90.00, 90.00, 90.00 degrees
Sites, in units of the cell vectors:
Zr 0.000 0.000 0.500
Zr 0.000 0.500 0.000
Sb 0.500 0.000 0.000
Os 0.000 0.000 0.000
Ir 0.500 0.500 0.500

- SG: P4/mmm

Entry 6:
The following is a DFT calculation (GGA-PBEsol) of a geometry-optimized Y3PbC structure.

Cell lengths 4.856, 4.856, 4.856 Å; angles 90.00, 90.00, 90.00 degrees
Sites, in units of the cell vectors:
Y 0.500 0.000 0.500
Y 0.000 0.500 0.500
Y 0.500 0.500 0.000
C 0.500 0.500 0.500
Pb 0.000 0.000 0.000

- ΔH_f (0 K): -0.639 eV/atom
- SG: Pm-3m

Entry 7:
The following is a DFT calculation (GGA-PBEsol) of a geometry-optimized SnSeOF2 structure.

Cell lengths 3.974, 4.346, 4.346 Å; angles 90.00, 90.00, 90.00 degrees
Each line ends with the local moment (μB).
Sites, in units of the cell vectors:
Se 0.500 0.500 0.500  1.27
Sn 0.000 0.000 0.000  -0.02
F 0.000 0.000 0.500  0.07
F 0.000 0.500 0.000  0.07
O 0.500 0.000 0.000  0.19

- SG: P4/mmm

Entry 8:
The following is a DFT calculation (GGA-PBEsol) of a geometry-optimized In3ReC structure.

Cell lengths 5.144, 5.144, 5.144 Å; angles 90.00, 90.00, 90.00 degrees
Each line ends with the local moment (μB).
Sites, in units of the cell vectors:
In 0.000 0.500 0.000  -0.02
In 0.000 0.000 0.500  -0.02
In 0.500 0.000 0.000  -0.02
Re 0.000 0.000 0.000  0.47
C 0.500 0.500 0.500  0.92

- ΔH_f (0 K): 1.900 eV/atom
- SG: Pm-3m

Number 1: calculated total energy -67.42 eV for the cell shown. Number 2: calculated total energy -19.69 eV for the cell shown. Number 3: calculated total energy -216.67 eV for the cell shown. Number 4: calculated total energy -25.13 eV for the cell shown. Number 5: calculated total energy -40.91 eV for the cell shown. Number 6: calculated total energy -37.30 eV for the cell shown. Number 7: calculated total energy -22.29 eV for the cell shown. Number 8: calculated total energy -22.42 eV for the cell shown.